Entry 1:
A relaxed BaAcPr2Tl4 crystal, computed with PBE.

Calculated values
**Theoretical density**: 8.96 g cm⁻³
**Symmetry**: R-3m, No. 166
**Total magnetic moment**: 0.0 μB per formula unit

abc: 9.984 9.984 9.984
angles: 33.58 33.58 33.58
Fractional positions:
Ba 0.000 0.000 0.000
Ac 0.500 0.500 0.500
Pr 0.252 0.252 0.252
Pr 0.748 0.748 0.748
Tl 0.127 0.127 0.127
Tl 0.377 0.377 0.377
Tl 0.623 0.623 0.623
Tl 0.873 0.873 0.873

Entry 2:
A relaxed Mn2Ir9Os crystal, computed with PBE.

Calculated values
**Theoretical density**: 19.78 g cm⁻³
**Symmetry**: P4/mmm, No. 123
**Total magnetic moment**: 5.1 μB per formula unit

abc: 3.841 3.841 11.553
angles: 90.00 90.00 90.00
Fractional positions:
Mn 0.000 0.000 0.161
Mn 0.000 0.000 0.839
Ir 0.000 0.500 0.000
Ir 0.000 0.500 0.333
Ir 0.000 0.500 0.667
Ir 0.500 0.000 0.000
Ir 0.500 0.000 0.333
Ir 0.500 0.000 0.667
Ir 0.500 0.500 0.167
Ir 0.500 0.500 0.500
Ir 0.500 0.500 0.833
Os 0.000 0.000 0.500

Entry 3:
A relaxed PrTm2Sc4 crystal, computed with PBE.

Calculated values
**Theoretical density**: 5.42 g cm⁻³
**Symmetry**: C2/m, No. 12
**Total magnetic moment**: 0.0 μB per formula unit

abc: 6.189 11.418 6.183
angles: 90.00 112.65 90.00
Fractional positions:
Pr 0.000 0.000 0.000
Pr 0.500 0.500 0.000
Tm 0.000 0.221 0.500
Tm 0.000 0.779 0.500
Tm 0.500 0.279 0.500
Tm 0.500 0.721 0.500
Sc 0.000 0.304 0.000
Sc 0.000 0.696 0.000
Sc 0.163 0.500 0.367
Sc 0.337 0.000 0.633
Sc 0.500 0.196 0.000
Sc 0.500 0.804 0.000
Sc 0.663 0.000 0.367
Sc 0.837 0.500 0.633

Taking the records one at a time from the top gives uncorrected energy values of -3.460; -9.223; -5.369 eV/atom.
Taking the records one at a time from the top gives DOS at the Fermi energy values of 8.85; 9.13; 26.58 states/eV/cell.
Taking the records one at a time from the top gives energy of formation from the pure elements values of -328; -113; 209 meV per atom.